Entry from the Alexandria database: an optimized crystal structure of CdSn2As (PBE).

Summary:
DFT formation energy ... 22 meV/atom
SG ... P1
Polymorph energy (0 for the lowest one) ... 8 meV per atom

The structure in POSCAR format:
```
CdSn2As
1.0
4.252 0.000 0.000
0.283 4.244 0.000
1.951 1.823 5.677
Cd Sn As
1 2 1
direct
0.000 0.000 0.000 Cd
0.099 0.096 0.462 Sn
0.543 0.543 0.866 Sn
0.572 0.569 0.413 As
```

***

Entry from the Alexandria database: an optimized crystal structure of CsNaZr2Os (PBE).

Summary:
DFT formation energy ... 2457 meV/atom
SG ... P4/mmm

The structure in POSCAR format:
```
CsNaZr2Os
1.0
5.159 0.000 0.000
0.000 5.159 0.000
0.000 0.000 5.274
Cs Na Zr Os
1 1 2 1
direct
0.000 0.000 0.000 Cs
0.000 0.000 0.500 Na
0.000 0.500 0.500 Zr
0.500 0.000 0.500 Zr
0.500 0.500 0.000 Os
```

***

Entry from the Alexandria database: an optimized crystal structure of Tb2Dy4Cd (PBE).

Summary:
DFT formation energy ... 41 meV/atom
SG ... C2/m

The structure in POSCAR format:
```
Tb2Dy4Cd
1.0
8.233 -1.744 0.000
8.233 1.744 0.000
-3.875 0.000 7.520
Tb Dy Cd
2 4 1
direct
0.218 0.218 0.141 Tb
0.782 0.782 0.859 Tb
0.081 0.081 0.702 Dy
0.369 0.369 0.607 Dy
0.631 0.631 0.393 Dy
0.919 0.919 0.298 Dy
0.000 0.000 0.000 Cd
```

***

Entry from the Alexandria database: an optimized crystal structure of Sc2HgTeO8 (PBE).

Summary:
SG ... P-1
Formation energy without anion corrections ... -1719 meV/atom

The structure in POSCAR format:
```
Sc2HgTeO8
1.0
4.815 0.000 0.000
0.258 4.809 0.000
0.338 0.318 6.646
Sc Hg Te O
2 1 1 8
direct
0.000 0.000 0.246 Sc
0.000 0.000 0.754 Sc
0.500 0.500 0.500 Hg
0.500 0.500 0.000 Te
0.185 0.816 0.500 O
0.207 0.794 0.000 O
0.293 0.295 0.201 O
0.323 0.324 0.773 O
0.677 0.676 0.227 O
0.707 0.705 0.799 O
0.793 0.206 0.000 O
0.815 0.184 0.500 O
```

***

Entry from the Alexandria database: an optimized crystal structure of TaAlTe2 (PBE).

Summary:
SG ... F-43m
Formation energy without anion corrections ... 665 meV/atom

The structure in POSCAR format:
```
TaAlTe2
1.0
0.000 3.527 3.527
3.527 0.000 3.527
3.527 3.527 0.000
Ta Al Te
1 1 2
direct
0.000 0.000 0.000 Ta
0.750 0.750 0.750 Al
0.250 0.250 0.250 Te
0.500 0.500 0.500 Te
```

***

Entry from the Alexandria database: an optimized crystal structure of SmTmGa (PBE).

Summary:
DFT formation energy ... -369 meV/atom
SG ... P6_3/mmc
Polymorph energy (0 for the lowest one) ... 0 meV per atom

The structure in POSCAR format:
```
SmTmGa
1.0
5.194 0.000 0.000
-2.597 4.498 0.000
0.000 0.000 6.603
Sm Tm Ga
2 2 2
direct
0.000 0.000 0.000 Sm
0.000 0.000 0.500 Sm
0.333 0.667 0.250 Tm
0.667 0.333 0.750 Tm
0.333 0.667 0.750 Ga
0.667 0.333 0.250 Ga
```

***

Entry from the Alexandria database: an optimized crystal structure of ZrScH3 (PBE).

Summary:
SG ... P2_1/c
Polymorph energy (0 for the lowest one) ... 0 meV per atom

The structure in POSCAR format:
```
ZrScH3
1.0
6.035 0.000 0.000
0.000 5.362 0.000
-0.987 0.000 6.392
Zr Sc H
4 4 12
direct
0.114 0.237 0.433 Zr
0.114 0.263 0.933 Zr
0.886 0.737 0.067 Zr
0.886 0.763 0.567 Zr
0.375 0.725 0.316 Sc
0.375 0.775 0.816 Sc
0.625 0.225 0.184 Sc
0.625 0.275 0.684 Sc
0.141 0.002 0.175 H
0.141 0.498 0.675 H
0.206 0.613 0.036 H
0.206 0.887 0.536 H
0.432 0.150 0.895 H
0.432 0.350 0.395 H
0.568 0.650 0.605 H
0.568 0.850 0.105 H
0.794 0.113 0.464 H
0.794 0.387 0.964 H
0.859 0.502 0.325 H
0.859 0.998 0.825 H
```

***

Entry from the Alexandria database: an optimized crystal structure of CrGe3C (PBE).

Summary:
DFT formation energy ... 1434 meV/atom
SG ... Pm-3m
Polymorph energy (0 for the lowest one) ... 365 meV per atom

The structure in POSCAR format:
```
CrGe3C
1.0
4.625 0.000 0.000
0.000 4.625 0.000
0.000 0.000 4.625
Cr Ge C
1 3 1
direct
0.000 0.000 0.000 Cr
0.000 0.000 0.500 Ge
0.000 0.500 0.000 Ge
0.500 0.000 0.000 Ge
0.500 0.500 0.500 C
```

***

Entry from the Alexandria database: an optimized crystal structure of Mg2CoNiGe2 (PBE).

Summary:
DFT formation energy ... -314 meV/atom
SG ... Ibam

The structure in POSCAR format:
```
Mg2CoNiGe2
1.0
-2.768 6.166 2.779
2.768 -6.166 2.779
2.768 6.166 -2.779
Mg Co Ni Ge
4 2 2 4
direct
0.160 0.246 0.407 Mg
0.340 0.746 0.086 Mg
0.660 0.254 0.914 Mg
0.840 0.754 0.593 Mg
0.250 0.750 0.500 Co
0.750 0.250 0.500 Co
0.250 0.250 0.000 Ni
0.750 0.750 0.000 Ni
0.114 0.744 0.858 Ge
0.386 0.244 0.630 Ge
0.614 0.756 0.370 Ge
0.886 0.256 0.142 Ge
```

***

Entry from the Alexandria database: an optimized crystal structure of RbSrNb (PBE).

Summary:
DFT formation energy ... 403 meV/atom
SG ... P2_1/m
Polymorph energy (0 for the lowest one) ... 0 meV per atom

The structure in POSCAR format:
```
RbSrNb
1.0
3.760 0.000 0.000
0.000 3.759 0.000
-0.163 0.000 17.796
Rb Sr Nb
2 2 2
direct
0.241 0.250 0.120 Rb
0.759 0.750 0.880 Rb
0.257 0.250 0.660 Sr
0.743 0.750 0.340 Sr
0.249 0.250 0.473 Nb
0.751 0.750 0.527 Nb
```

***

Entry from the Alexandria database: an optimized crystal structure of VSiPt3 (PBE).

Summary:
SG ... Pm-3m
Formation energy without anion corrections ... 882 meV/atom
Polymorph energy (0 for the lowest one) ... 636 meV per atom

The structure in POSCAR format:
```
VSiPt3
1.0
4.646 0.000 0.000
0.000 4.646 0.000
0.000 0.000 4.646
V Si Pt
1 1 3
direct
0.000 0.000 0.000 V
0.500 0.500 0.500 Si
0.000 0.000 0.500 Pt
0.000 0.500 0.000 Pt
0.500 0.000 0.000 Pt
```

***

Entry from the Alexandria database: an optimized crystal structure of PmErSn2 (PBE).

Summary:
DFT formation energy ... -628 meV/atom
SG ... P4/mmm

The structure in POSCAR format:
```
PmErSn2
1.0
4.885 0.000 0.000
0.000 4.885 0.000
0.000 0.000 4.502
Pm Er Sn
1 1 2
direct
0.000 0.000 0.000 Pm
0.500 0.500 0.000 Er
0.000 0.500 0.500 Sn
0.500 0.000 0.500 Sn
```

***

Entry from the Alexandria database: an optimized crystal structure of LiTlGeCl4 (PBE).

Summary:
SG ... P2_1/m
Formation energy without anion corrections ... -1139 meV/atom

The structure in POSCAR format:
```
LiTlGeCl4
1.0
7.592 0.000 0.000
0.000 6.909 0.000
-2.872 0.000 8.255
Li Tl Ge Cl
2 2 2 8
direct
0.213 0.250 0.183 Li
0.787 0.750 0.817 Li
0.213 0.750 0.484 Tl
0.787 0.250 0.516 Tl
0.288 0.750 0.016 Ge
0.712 0.250 0.984 Ge
0.009 0.750 0.089 Cl
0.106 0.250 0.400 Cl
0.437 0.505 0.204 Cl
0.437 0.995 0.204 Cl
0.563 0.005 0.796 Cl
0.563 0.495 0.796 Cl
0.894 0.750 0.600 Cl
0.991 0.250 0.911 Cl
```

***

Entry from the Alexandria database: an optimized crystal structure of Sc2BiPPd (PBE).

Summary:
DFT formation energy ... 826 meV/atom
SG ... P4/mmm

The structure in POSCAR format:
```
Sc2BiPPd
1.0
5.441 0.000 0.000
0.000 5.441 0.000
0.000 0.000 5.110
Sc Bi P Pd
2 1 1 1
direct
0.000 0.500 0.000 Sc
0.500 0.000 0.000 Sc
0.000 0.000 0.000 Bi
0.000 0.000 0.500 P
0.500 0.500 0.500 Pd
```

***

Entry from the Alexandria database: an optimized crystal structure of YHgBr2 (PBE).

Summary:
SG ... P4/mmm
Formation energy without anion corrections ... -722 meV/atom
Polymorph energy (0 for the lowest one) ... 461 meV per atom

The structure in POSCAR format:
```
YHgBr2
1.0
5.375 0.000 0.000
0.000 5.375 0.000
0.000 0.000 3.756
Y Hg Br
1 1 2
direct
0.000 0.000 0.000 Y
0.500 0.500 0.000 Hg
0.000 0.500 0.500 Br
0.500 0.000 0.500 Br
```

***

Entry from the Alexandria database: an optimized crystal structure of PmCdPb4 (PBE).

Summary:
DFT formation energy ... -38 meV/atom
SG ... F-43m

The structure in POSCAR format:
```
PmCdPb4
1.0
0.000 4.554 4.554
4.554 0.000 4.554
4.554 4.554 0.000
Pm Cd Pb
1 1 4
direct
0.000 0.000 0.000 Pm
0.250 0.250 0.250 Cd
0.123 0.626 0.626 Pb
0.626 0.123 0.626 Pb
0.626 0.626 0.123 Pb
0.626 0.626 0.626 Pb
```

***

Entry from the Alexandria database: an optimized crystal structure of AlTlCd (PBE).

Summary:
DFT formation energy ... 146 meV/atom
SG ... P1

The structure in POSCAR format:
```
AlTlCd
1.0
3.268 0.000 0.000
0.077 5.142 0.000
1.619 2.374 8.659
Al Tl Cd
2 2 2
direct
0.000 0.000 0.000 Al
0.384 0.753 0.244 Al
0.182 0.158 0.647 Tl
0.550 0.543 0.901 Tl
0.746 0.718 0.519 Cd
0.883 0.268 0.262 Cd
```

***

Entry from the Alexandria database: an optimized crystal structure of LiMgP2 (PBE).

Summary:
DFT formation energy ... 139 meV/atom
SG ... P4mm

The structure in POSCAR format:
```
LiMgP2
1.0
2.712 0.000 0.000
0.000 2.712 0.000
0.000 0.000 9.947
Li Mg P
1 1 2
direct
0.000 0.000 0.000 Li
0.500 0.500 0.261 Mg
0.000 0.000 0.450 P
0.500 0.500 0.821 P
```

***

Entry from the Alexandria database: an optimized crystal structure of TlSn2Te (PBE).

Summary:
SG ... Fm-3m
Formation energy without anion corrections ... 76 meV/atom
Polymorph energy (0 for the lowest one) ... 75 meV per atom

The structure in POSCAR format:
```
TlSn2Te
1.0
0.000 3.862 3.862
3.862 0.000 3.862
3.862 3.862 0.000
Tl Sn Te
1 2 1
direct
0.000 0.000 0.000 Tl
0.250 0.250 0.250 Sn
0.750 0.750 0.750 Sn
0.500 0.500 0.500 Te
```

***

Entry from the Alexandria database: an optimized crystal structure of Sm3Dy6Er2Sc (PBE).

Summary:
DFT formation energy ... 28 meV/atom
SG ... C2/m

The structure in POSCAR format:
```
Sm3Dy6Er2Sc
1.0
3.065 -5.305 0.000
3.065 5.305 0.000
-2.036 0.000 11.525
Sm Dy Er Sc
3 6 2 1
direct
0.000 0.000 0.000 Sm
0.333 0.667 0.000 Sm
0.667 0.333 0.000 Sm
0.088 0.419 0.256 Dy
0.250 0.250 0.745 Dy
0.419 0.088 0.256 Dy
0.581 0.912 0.744 Dy
0.750 0.750 0.255 Dy
0.912 0.581 0.744 Dy
0.167 0.833 0.500 Er
0.833 0.167 0.500 Er
0.500 0.500 0.500 Sc
```

***

Entry from the Alexandria database: an optimized crystal structure of Ce4Bi2I3 (PBE).

Summary:
SG ... C2/m
Formation energy without anion corrections ... -954 meV/atom

The structure in POSCAR format:
```
Ce4Bi2I3
1.0
3.952 -2.282 0.000
3.952 2.282 0.000
-0.019 0.000 18.758
Ce Bi I
4 2 3
direct
0.001 0.001 0.295 Ce
0.334 0.334 0.098 Ce
0.666 0.666 0.902 Ce
0.999 0.999 0.705 Ce
0.333 0.333 0.803 Bi
0.667 0.667 0.197 Bi
0.000 0.000 0.000 I
0.334 0.334 0.399 I
0.666 0.666 0.601 I
```

***

Entry from the Alexandria database: an optimized crystal structure of MnCuCl3 (PBE).

Summary:
SG ... P2_1/m
Formation energy without anion corrections ... -799 meV/atom
Polymorph energy (0 for the lowest one) ... 0 meV per atom

The structure in POSCAR format:
```
MnCuCl3
1.0
6.514 0.000 0.000
0.000 3.766 0.000
-0.405 0.000 9.463
Mn Cu Cl
2 2 6
direct
0.081 0.250 0.166 Mn
0.919 0.750 0.834 Mn
0.411 0.250 0.683 Cu
0.589 0.750 0.317 Cu
0.071 0.250 0.690 Cl
0.225 0.750 0.014 Cl
0.400 0.250 0.328 Cl
0.600 0.750 0.672 Cl
0.775 0.250 0.986 Cl
0.929 0.750 0.310 Cl
```

***

Entry from the Alexandria database: an optimized crystal structure of MnCd2Se (PBE).

Summary:
SG ... Cmmm
Formation energy without anion corrections ... 119 meV/atom

The structure in POSCAR format:
```
MnCd2Se
1.0
2.744 -2.784 0.000
2.744 2.784 0.000
0.000 0.000 6.037
Mn Cd Se
1 2 1
direct
0.000 0.000 0.000 Mn
0.250 0.250 0.500 Cd
0.750 0.750 0.500 Cd
0.500 0.500 0.000 Se
```

***

Entry from the Alexandria database: an optimized crystal structure of La4AlAu (PBE).

Summary:
DFT formation energy ... -347 meV/atom
SG ... C2/c
Polymorph energy (0 for the lowest one) ... 37 meV per atom

The structure in POSCAR format:
```
La4AlAu
1.0
4.516 -7.155 0.000
4.516 7.155 0.000
-2.341 0.000 5.614
La Al Au
8 2 2
direct
0.074 0.689 0.927 La
0.226 0.385 0.656 La
0.311 0.926 0.573 La
0.385 0.226 0.156 La
0.615 0.774 0.844 La
0.689 0.074 0.427 La
0.774 0.615 0.344 La
0.926 0.311 0.073 La
0.381 0.619 0.250 Al
0.619 0.381 0.750 Al
0.005 0.995 0.250 Au
0.995 0.005 0.750 Au
```

***

Entry from the Alexandria database: an optimized crystal structure of MgTe (PBE).

Summary:
SG ... Cmc2_1
Formation energy without anion corrections ... -880 meV/atom

The structure in POSCAR format:
```
MgTe
1.0
2.306 -3.992 0.000
2.306 3.992 0.000
0.000 0.000 7.504
Mg Te
2 2
direct
0.166 0.834 0.500 Mg
0.834 0.166 0.000 Mg
0.167 0.833 0.877 Te
0.833 0.167 0.377 Te
```

***

Number 1: calculated total energy -3.370 eV/atom. Number 2: calculated total energy -3.643 eV/atom. Number 3: calculated total energy -4.043 eV/atom. Number 4: calculated total energy -6.367 eV/atom. Number 5: calculated total energy -4.805 eV/atom. Number 6: calculated total energy -4.441 eV/atom. Number 7: calculated total energy -5.466 eV/atom. Number 8: calculated total energy -5.106 eV/atom. Number 9: calculated total energy -4.533 eV/atom. Number 10: calculated total energy -3.837 eV/atom. Number 11: calculated total energy -5.651 eV/atom. Number 12: calculated total energy -4.957 eV/atom. Number 13: calculated total energy -3.465 eV/atom. Number 14: calculated total energy -4.603 eV/atom. Number 15: calculated total energy -3.250 eV/atom. Number 16: calculated total energy -3.455 eV/atom. Number 17: calculated total energy -2.195 eV/atom. Number 18: calculated total energy -3.443 eV/atom. Number 19: calculated total energy -3.303 eV/atom. Number 20: calculated total energy -4.741 eV/atom. Number 21: calculated total energy -4.970 eV/atom. Number 22: calculated total energy -4.560 eV/atom. Number 23: calculated total energy -3.502 eV/atom. Number 24: calculated total energy -4.802 eV/atom. Number 25: calculated total energy -3.248 eV/atom.